Material: Nb3TlCN
Method: DFT, GGA-PBE
State: optimized geometry

Cell and atoms, written as POSCAR:
```
Nb3TlCN
1.0
-1.656 2.456 1.146
-1.233 -1.814 -2.297
-8.105 -11.866 13.717
C Tl Nb N
2 2 6 2
Cartesian
-1.917 -1.186 -0.230
-9.077 -10.038 12.796
-6.068 -8.883 10.270
-2.037 -2.982 3.448
-6.435 -7.799 7.414
0.000 0.000 0.000
-4.053 -5.933 6.859
-2.541 -0.470 1.735
-8.453 -10.754 10.831
-4.560 -3.425 5.151
-4.912 -5.569 4.837
-6.083 -5.654 7.728
```

Calculated values
VASP energy, eV per atom: -8.8168
Space-group type: No. 164
Size of the total moment, μB/f.u.: 0.0